First-principles (GGA-PBE) data for a geometry-optimized Dy2AlZnIr2 structure, as listed in Alexandria.

```
12
Lattice="-2.859 7.129 2.871 2.859 -7.129 2.871 2.859 7.129 -2.871" Properties=species:S:1:pos:R:3 pbc="T T T"
Dy 1.343 2.461 0.000
Dy 1.343 -2.461 2.871
Dy 1.516 9.590 0.000
Dy 1.516 4.668 2.871
Al 2.859 0.000 1.436
Al 0.000 7.129 1.436
Zn 0.000 0.000 1.436
Zn 0.000 0.000 4.307
Ir 4.177 1.661 0.000
Ir 1.318 5.468 0.000
Ir 1.541 1.661 2.871
Ir -1.318 5.468 2.871
```

Results
Energy ... -6.107 eV per atom
SG ... Ibam
Crystal system ... orthorhombic
Formation enthalpy at 0 K ... -18.05 kcal/mol of atoms

First-principles (GGA-PBE) data for a geometry-optimized LiDyGa4Pt2 structure, as listed in Alexandria.

```
8
Lattice="2.147 1.240 8.482 -2.147 1.240 8.482 0.000 -2.479 8.482" Properties=species:S:1:pos:R:3 pbc="T T T"
Li 0.000 0.000 0.000
Dy 0.000 0.000 12.723
Ga 0.000 0.000 2.625
Ga 0.000 0.000 9.409
Ga 0.000 0.000 16.037
Ga 0.000 0.000 22.822
Pt 0.000 0.000 6.707
Pt 0.000 0.000 18.739
```

Results
Energy ... -4.555 eV per atom
SG ... R-3m
Crystal system ... trigonal
Formation enthalpy at 0 K ... -16.54 kcal/mol of atoms

First-principles (GGA-PBE) data for a geometry-optimized Hf2GePd structure, as listed in Alexandria.

```
8
Lattice="-3.671 3.671 2.946 3.671 -3.671 2.946 3.671 3.671 -2.946" Properties=species:S:1:pos:R:3 pbc="T T T"
Hf 5.507 1.788 -0.736
Hf 1.788 1.836 0.736
Hf -1.836 1.883 2.209
Hf 1.883 1.836 3.682
Ge 3.671 0.000 1.473
Ge 0.000 0.000 2.946
Pd 0.000 0.000 0.000
Pd 0.000 3.671 1.473
```

Results
Energy ... -7.671 eV per atom
SG ... I-42d
Crystal system ... tetragonal
Formation enthalpy at 0 K ... -5.58 kcal/mol of atoms

First-principles (GGA-PBE) data for a geometry-optimized Er2TlV structure, as listed in Alexandria.

```
4
Lattice="3.652 0.000 0.000 0.000 3.652 0.000 0.000 0.000 7.382" Properties=species:S:1:pos:R:3 pbc="T T T"
Er 0.000 0.000 1.697
Er 0.000 0.000 5.685
Tl 1.826 1.826 3.691
V 1.826 1.826 0.000
```

Results
Energy ... -5.160 eV per atom
SG ... P4/mmm
Crystal system ... tetragonal
Formation enthalpy at 0 K ... -0.16 kcal/mol of atoms
E above lowest polymorph ... 0.0000 eV per atom

First-principles (GGA-PBE) data for a geometry-optimized ErAg5Pd6 structure, as listed in Alexandria.

```
12
Lattice="4.822 0.000 0.000 0.000 6.047 0.000 -0.800 0.000 7.034" Properties=species:S:1:pos:R:3 pbc="T T T"
Er 0.000 0.000 0.000
Ag 0.000 3.023 0.000
Ag 1.103 3.023 4.706
Ag 1.124 0.000 4.668
Ag 2.898 0.000 2.366
Ag 2.919 3.023 2.328
Pd 0.501 1.521 2.345
Pd 0.501 4.526 2.345
Pd 2.411 1.530 0.000
Pd 2.411 4.517 0.000
Pd 3.521 1.521 4.689
Pd 3.521 4.526 4.689
```

Results
Energy ... -4.446 eV per atom
SG ... P2/m
Crystal system ... monoclinic
Formation enthalpy at 0 K ... -6.48 kcal/mol of atoms

First-principles (GGA-PBE) data for a geometry-optimized Li2TmMgTl2 structure, as listed in Alexandria.

```
6
Lattice="4.839 0.000 0.000 -2.420 4.191 0.000 0.000 0.000 6.549" Properties=species:S:1:pos:R:3 pbc="T T T"
Li 0.000 2.794 1.307
Li 2.420 1.397 5.242
Tm 0.000 0.000 3.275
Mg 0.000 0.000 0.000
Tl 0.000 2.794 4.788
Tl 2.420 1.397 1.762
```

Results
Energy ... -2.688 eV per atom
SG ... P-3m1
Crystal system ... trigonal
Formation enthalpy at 0 K ... -5.77 kcal/mol of atoms